1.
Computed, not measured: a relaxed structure of TaNiOsS2 at the PBE level of DFT.

a b c (Å): 4.4678 4.4678 4.5262
angles (deg): 90.00 90.00 90.00
Space group P4/mmm (No. 123)
Symmetry-distinct sites (fractional):
1 Ta 0.0000 0.0000 0.0000 x1
2 Ni 0.5000 0.5000 0.0000 x1
3 Os 0.5000 0.5000 0.5000 x1
4 S 0.0000 0.5000 0.5000 x2

Properties
The calculation puts the calculated volume at 90.3 Å³/f.u. For the formation energy without anion corrections, the calculation gives 1.161 eV/atom. The calculation puts the density of states at the Fermi level at 7.7 states/eV/f.u.



2.
Computed, not measured: a relaxed structure of Th8NiOs3S4 at the PBE level of DFT.

a b c (Å): 8.1292 8.1292 21.3757
angles (deg): 90.00 90.00 120.00
Space group R-3m (No. 166, hexagonal axes)
Symmetry-distinct sites (fractional):
1 Th 0.0000 0.0000 0.2425 x6
2 Th 0.0017 0.5008 0.7586 x18
3 Ni 0.0000 0.0000 0.5000 x3
4 Os 0.0000 0.5000 0.5000 x9
5 S 0.0000 0.0000 0.0000 x3
6 S 0.0000 0.5000 0.0000 x9

Properties
The calculation puts the calculated volume at 407.8 Å³/f.u. For the formation energy without anion corrections, the calculation gives -1.056 eV/atom. The calculation puts the density of states at the Fermi level at 9.8 states/eV/f.u.



3.
Computed, not measured: a relaxed structure of Th6NiOs2S3 at the PBE level of DFT.

a b c (Å): 18.3817 4.0786 8.4990
angles (deg): 90.00 107.43 90.00
Space group C2/m (No. 12)
Symmetry-distinct sites (fractional):
1 Th 0.0048 0.0000 0.2382 x4
2 Th 0.1612 0.5000 0.0957 x4
3 Th 0.1726 0.5000 0.5700 x4
4 Ni 0.0000 0.5000 0.0000 x2
5 Os 0.1642 0.0000 0.3287 x4
6 S 0.0000 0.5000 0.5000 x2
7 S 0.1664 0.0000 0.8340 x4

Properties
The calculation puts the calculated volume at 304.0 Å³/f.u. For the formation energy without anion corrections, the calculation gives -1.048 eV/atom. The calculation puts the density of states at the Fermi level at 10.3 states/eV/f.u.



4.
Computed, not measured: a relaxed structure of Th4NiOsS2 at the PBE level of DFT.

a b c (Å): 6.9486 4.0741 7.4498
angles (deg): 90.00 108.07 90.00
Space group P2/m (No. 10)
Symmetry-distinct sites (fractional):
1 Th 0.2440 0.0000 0.2290 x2
2 Th 0.2538 0.5000 0.7712 x2
3 Ni 0.5000 0.0000 0.0000 x1
4 Os 0.0000 0.5000 0.0000 x1
5 S 0.0000 0.0000 0.5000 x1
6 S 0.5000 0.5000 0.5000 x1

Properties
The calculation puts the calculated volume at 200.5 Å³/f.u. For the formation energy without anion corrections, the calculation gives -1.043 eV/atom. The calculation puts the density of states at the Fermi level at 7.8 states/eV/f.u.



5.
Computed, not measured: a relaxed structure of NiSbOs3 at the PBE level of DFT.

a b c (Å): 4.7997 4.7997 4.7997
angles (deg): 90.00 90.00 90.00
Space group Pm-3m (No. 221)
Symmetry-distinct sites (fractional):
1 Ni 0.0000 0.0000 0.0000 x1
2 Sb 0.5000 0.5000 0.5000 x1
3 Os 0.0000 0.5000 0.5000 x3

Properties
The calculation puts the calculated volume at 110.6 Å³/f.u. The value obtained for the energy above the most stable polymorph in this dataset is 1017.3 meV/atom. For the formation energy without anion corrections, the calculation gives 2.772 eV/atom. The calculation puts the density of states at the Fermi level at 13.1 states/eV/f.u.



6.
Computed, not measured: a relaxed structure of NiSb3Os at the PBE level of DFT.

a b c (Å): 5.1128 5.1128 5.1128
angles (deg): 90.00 90.00 90.00
Space group Pm-3m (No. 221)
Symmetry-distinct sites (fractional):
1 Ni 0.0000 0.0000 0.0000 x1
2 Sb 0.0000 0.5000 0.5000 x3
3 Os 0.5000 0.5000 0.5000 x1

Properties
The calculation puts the calculated volume at 133.7 Å³/f.u. The value obtained for the energy above the most stable polymorph in this dataset is 9.9 meV/atom. For the formation energy without anion corrections, the calculation gives 1.037 eV/atom. The calculation puts the density of states at the Fermi level at 6.0 states/eV/f.u.



7.
Computed, not measured: a relaxed structure of Ni2Sb2Os at the PBE level of DFT.

a b c (Å): 4.8195 4.8195 7.4827
angles (deg): 90.00 90.00 90.00
Space group I4/mmm (No. 139)
Symmetry-distinct sites (fractional):
1 Ni 0.0000 0.0000 0.1468 x4
2 Sb 0.0000 0.5000 0.2500 x4
3 Os 0.0000 0.0000 0.5000 x2

Properties
The calculation puts the calculated volume at 86.9 Å³/f.u. The value obtained for the energy above the most stable polymorph in this dataset is 348.3 meV/atom. For the formation energy without anion corrections, the calculation gives 0.645 eV/atom. The calculation puts the density of states at the Fermi level at 4.1 states/eV/f.u.



8.
Computed, not measured: a relaxed structure of NiSb3Os at the PBE level of DFT.

a b c (Å): 4.8162 4.8162 4.8162
angles (deg): 90.00 90.00 90.00
Space group Pm-3m (No. 221)
Symmetry-distinct sites (fractional):
1 Ni 0.0000 0.0000 0.0000 x1
2 Sb 0.0000 0.0000 0.5000 x3
3 Os 0.5000 0.5000 0.5000 x1

Properties
The calculation puts the calculated volume at 111.7 Å³/f.u. The value obtained for the energy above the most stable polymorph in this dataset is 0.0 meV/atom. For the formation energy without anion corrections, the calculation gives 1.027 eV/atom. The calculation puts the density of states at the Fermi level at 4.6 states/eV/f.u.



9.
Computed, not measured: a relaxed structure of NiSb6Os2 at the PBE level of DFT.

a b c (Å): 6.0390 6.0390 12.0579
angles (deg): 90.00 90.00 90.00
Space group P4_2/mnm (No. 136)
Symmetry-distinct sites (fractional):
1 Ni 0.0000 0.0000 0.0000 x2
2 Sb 0.1960 0.1960 0.1631 x8
3 Sb 0.2058 0.2058 0.5000 x4
4 Os 0.0000 0.0000 0.3301 x4

Properties
The calculation puts the calculated volume at 219.9 Å³/f.u. For the formation energy without anion corrections, the calculation gives 0.169 eV/atom. The calculation puts the density of states at the Fermi level at 5.0 states/eV/f.u.



10.
Computed, not measured: a relaxed structure of NiSbOs3 at the PBE level of DFT.

a b c (Å): 4.4775 4.4775 4.4775
angles (deg): 90.00 90.00 90.00
Space group Pm-3m (No. 221)
Symmetry-distinct sites (fractional):
1 Ni 0.0000 0.0000 0.0000 x1
2 Sb 0.5000 0.5000 0.5000 x1
3 Os 0.0000 0.0000 0.5000 x3

Properties
The calculation puts the calculated volume at 89.8 Å³/f.u. The value obtained for the energy above the most stable polymorph in this dataset is 0.0 meV/atom. For the formation energy without anion corrections, the calculation gives 1.755 eV/atom. The calculation puts the density of states at the Fermi level at 7.5 states/eV/f.u.



11.
Computed, not measured: a relaxed structure of Ni2Sb2Os at the PBE level of DFT.

a b c (Å): 6.9068 6.9068 3.3262
angles (deg): 90.00 90.00 90.00
Space group P4/mbm (No. 127)
Symmetry-distinct sites (fractional):
1 Ni 0.1232 0.3768 0.0000 x4
2 Sb 0.1805 0.6805 0.5000 x4
3 Os 0.0000 0.0000 0.0000 x2

Properties
The calculation puts the calculated volume at 79.3 Å³/f.u. The value obtained for the energy above the most stable polymorph in this dataset is 0.0 meV/atom. For the formation energy without anion corrections, the calculation gives 0.297 eV/atom. The calculation puts the density of states at the Fermi level at 0.7 states/eV/f.u.



12.
Computed, not measured: a relaxed structure of SrNiSb2Os at the PBE level of DFT.

a b c (Å): 4.8398 4.8398 5.1085
angles (deg): 90.00 90.00 90.00
Space group P4/mmm (No. 123)
Symmetry-distinct sites (fractional):
1 Sr 0.0000 0.0000 0.0000 x1
2 Ni 0.0000 0.0000 0.5000 x1
3 Sb 0.0000 0.5000 0.5000 x2
4 Os 0.5000 0.5000 0.0000 x1

Properties
The calculation puts the calculated volume at 119.7 Å³/f.u. For the formation energy without anion corrections, the calculation gives 0.749 eV/atom. The calculation puts the density of states at the Fermi level at 4.5 states/eV/f.u.



13.
Computed, not measured: a relaxed structure of Sc2NiOs at the PBE level of DFT.

a b c (Å): 3.1773 3.1773 7.2527
angles (deg): 90.00 90.00 90.00
Space group P4mm (No. 99)
Symmetry-distinct sites (fractional):
1 Sc 0.0000 0.0000 0.0000 x1
2 Sc 0.5000 0.5000 0.3862 x1
3 Ni 0.0000 0.0000 0.6087 x1
4 Os 0.5000 0.5000 0.7659 x1

Properties
The calculation puts the calculated volume at 73.2 Å³/f.u. The value obtained for the energy above the most stable polymorph in this dataset is 457.2 meV/atom. The formation energy comes out at -4.3 kJ/mol of atoms. The calculation puts the density of states at the Fermi level at 3.1 states/eV/f.u.



14.
Computed, not measured: a relaxed structure of Sc2NiOs at the PBE level of DFT.

a b c (Å): 4.4857 4.4857 3.2473
angles (deg): 90.00 90.00 90.00
Space group P4/mmm (No. 123)
Symmetry-distinct sites (fractional):
1 Sc 0.0000 0.5000 0.0000 x2
2 Ni 0.0000 0.0000 0.5000 x1
3 Os 0.5000 0.5000 0.5000 x1

Properties
The calculation puts the calculated volume at 65.3 Å³/f.u. The value obtained for the energy above the most stable polymorph in this dataset is 24.2 meV/atom. The formation energy comes out at -46.1 kJ/mol of atoms. The calculation puts the density of states at the Fermi level at 1.4 states/eV/f.u.



15.
Computed, not measured: a relaxed structure of Sc2NiOs at the PBE level of DFT.

a b c (Å): 3.0936 3.0936 24.4177
angles (deg): 90.00 90.00 120.00
Space group R-3m (No. 166, hexagonal axes)
Symmetry-distinct sites (fractional):
1 Sc 0.0000 0.0000 0.2481 x6
2 Ni 0.0000 0.0000 0.5000 x3
3 Os 0.0000 0.0000 0.0000 x3

Properties
The calculation puts the calculated volume at 67.5 Å³/f.u. The value obtained for the energy above the most stable polymorph in this dataset is 428.3 meV/atom. The formation energy comes out at -7.1 kJ/mol of atoms. The calculation puts the density of states at the Fermi level at 3.3 states/eV/f.u.



16.
Computed, not measured: a relaxed structure of Sc3NiOs2 at the PBE level of DFT.

a b c (Å): 4.5292 13.5010 3.2375
angles (deg): 90.00 90.00 90.00
Space group Cmmm (No. 65)
Symmetry-distinct sites (fractional):
1 Sc 0.0000 0.0000 0.0000 x2
2 Sc 0.0000 0.3317 0.0000 x4
3 Ni 0.0000 0.5000 0.5000 x2
4 Os 0.0000 0.1647 0.5000 x4

Properties
The calculation puts the calculated volume at 99.0 Å³/f.u. The formation energy comes out at -42.1 kJ/mol of atoms. The calculation puts the density of states at the Fermi level at 3.5 states/eV/f.u.



17.
Computed, not measured: a relaxed structure of Sc4NiOs at the PBE level of DFT.

a b c (Å): 7.6220 7.6220 7.6220
angles (deg): 90.00 90.00 90.00
Space group F-43m (No. 216)
Symmetry-distinct sites (fractional):
1 Sc 0.1241 0.1241 0.3759 x16
2 Ni 0.0000 0.0000 0.0000 x4
3 Os 0.2500 0.2500 0.7500 x4

Properties
The calculation puts the calculated volume at 110.7 Å³/f.u. The value obtained for the energy above the most stable polymorph in this dataset is 855.2 meV/atom. The formation energy comes out at 55.8 kJ/mol of atoms. The calculation puts the density of states at the Fermi level at 4.7 states/eV/f.u.



18.
Computed, not measured: a relaxed structure of Sc2NiOs at the PBE level of DFT.

a b c (Å): 3.8205 3.8205 9.0342
angles (deg): 90.00 90.00 90.00
Space group I-4m2 (No. 119)
Symmetry-distinct sites (fractional):
1 Sc 0.0000 0.0000 0.0000 x2
2 Sc 0.0000 0.5000 0.2500 x2
3 Ni 0.0000 0.5000 0.7500 x2
4 Os 0.0000 0.0000 0.5000 x2

Properties
The calculation puts the calculated volume at 65.9 Å³/f.u. The value obtained for the energy above the most stable polymorph in this dataset is 267.3 meV/atom. The formation energy comes out at -22.7 kJ/mol of atoms. The calculation puts the density of states at the Fermi level at 2.7 states/eV/f.u.



19.
Computed, not measured: a relaxed structure of Sc8NiOs2 at the PBE level of DFT.

a b c (Å): 16.0499 4.5416 6.4660
angles (deg): 90.00 109.20 90.00
Space group C2/m (No. 12)
Symmetry-distinct sites (fractional):
1 Sc 0.0263 0.0000 0.2857 x4
2 Sc 0.0989 0.5000 0.9523 x4
3 Sc 0.1653 0.5000 0.4526 x4
4 Sc 0.2019 0.0000 0.7991 x4
5 Ni 0.0000 0.5000 0.5000 x2
6 Os 0.1799 0.0000 0.1913 x4

Properties
The calculation puts the calculated volume at 222.6 Å³/f.u. The formation energy comes out at -29.4 kJ/mol of atoms. The calculation puts the density of states at the Fermi level at 14.6 states/eV/f.u.



20.
Computed, not measured: a relaxed structure of ScNiOs3 at the PBE level of DFT.

a b c (Å): 4.5839 4.5839 4.5839
angles (deg): 90.00 90.00 90.00
Space group Pm-3m (No. 221)
Symmetry-distinct sites (fractional):
1 Sc 0.0000 0.0000 0.0000 x1
2 Ni 0.5000 0.5000 0.5000 x1
3 Os 0.0000 0.0000 0.5000 x3

Properties
The calculation puts the calculated volume at 96.3 Å³/f.u. The value obtained for the energy above the most stable polymorph in this dataset is 1268.0 meV/atom. The formation energy comes out at 245.1 kJ/mol of atoms. The calculation puts the density of states at the Fermi level at 7.8 states/eV/f.u.